Record 1
Al6CrFe5 | GGA-PBE | relaxed

a b c (Å): 4.086 12.255 5.852
angles (deg): 90.00 90.00 90.00
Space group Cmmm (No. 65)
Symmetry-distinct sites (fractional):
1 Al 0.000 0.000 0.237 [4 per cell]
2 Al 0.000 0.330 0.241 [8 per cell]
3 Cr 0.000 0.500 0.500 [2 per cell]
4 Fe 0.000 0.166 0.000 [4 per cell]
5 Fe 0.000 0.166 0.500 [4 per cell]
6 Fe 0.000 0.500 0.000 [2 per cell]

## Properties
Volume (Å³ per cell): 293.0
Formation energy from the elements (kcal/mol of atoms): -6.408
D(E_F) (states/eV/atom): 1.119


Record 2
PrScCuHg | GGA-PBE | relaxed

a b c (Å): 7.205 7.205 7.205
angles (deg): 90.00 90.00 90.00
Space group F-43m (No. 216)
Symmetry-distinct sites (fractional):
1 Pr 0.000 0.000 0.000 [4 per cell]
2 Sc 0.000 0.000 0.500 [4 per cell]
3 Cu 0.250 0.250 0.750 [4 per cell]
4 Hg 0.250 0.250 0.250 [4 per cell]

## Properties
Volume (Å³ per cell): 374.1
Formation energy from the elements (kcal/mol of atoms): -5.544
D(E_F) (states/eV/atom): 0.902